Material: KLuAuSe3
Method: DFT, PBE
State: relaxed

The total energy is -4.313 eV per atom. As for the total magnetization: 0.062 μB/f.u.

a = 7.984 Å, b = 7.984 Å, c = 10.557 Å
α = 90.00°, β = 90.00°, γ = 150.81°
Fractional coordinates of all 12 atoms:
Au1 0.965 0.035 0.250
Au2 0.035 0.965 0.750
Lu1 0.500 0.500 0.000
Lu2 0.500 0.500 0.500
Se1 0.873 0.127 0.455
Se2 0.873 0.127 0.045
Se3 0.127 0.873 0.545
Se4 0.577 0.423 0.250
Se5 0.127 0.873 0.955
Se6 0.423 0.577 0.750
K1 0.742 0.258 0.750
K2 0.258 0.742 0.250

=====

Material: KMoAu
Method: DFT, PBE
State: relaxed

As for the total magnetization: 4.386 μB/f.u. For the energy relative to the lowest polymorph listed for this composition, the calculation gives 0 meV/atom.

a = 5.040 Å, b = 5.040 Å, c = 5.040 Å
α = 60.00°, β = 60.00°, γ = 60.00°
Fractional coordinates of all 3 atoms:
Mo1 0.750 0.750 0.750
K1 0.250 0.250 0.250
Au1 0.000 0.000 0.000

=====

Material: K2Mo3Au2
Method: DFT, PBE
State: relaxed

The total energy is -5.376 eV per atom. As for the total magnetization: 1.248 μB/f.u.

a = 12.379 Å, b = 12.379 Å, c = 12.379 Å
α = 20.27°, β = 20.27°, γ = 20.27°
Fractional coordinates of all 7 atoms:
Mo1 0.949 0.949 0.949
Mo2 0.318 0.318 0.318
Mo3 0.640 0.640 0.640
K1 0.207 0.207 0.207
K2 0.756 0.756 0.756
Au1 0.482 0.482 0.482
Au2 0.024 0.024 0.024

=====

Material: KMoAuS3
Method: DFT, PBE
State: relaxed

The total energy is -5.000 eV per atom. As for the total magnetization: 1.997 μB/f.u.

a = 7.593 Å, b = 7.593 Å, c = 9.797 Å
α = 90.00°, β = 90.00°, γ = 28.66°
Fractional coordinates of all 12 atoms:
K1 0.258 0.258 0.750
K2 0.742 0.742 0.250
S1 0.613 0.613 0.980
S2 0.387 0.387 0.020
S3 0.387 0.387 0.480
S4 0.062 0.062 0.250
S5 0.938 0.938 0.750
S6 0.613 0.613 0.520
Mo1 0.000 0.000 0.000
Mo2 0.000 0.000 0.500
Au1 0.433 0.433 0.250
Au2 0.567 0.567 0.750